1.
Entry from the Alexandria database: a geometry-optimized YPW2 structure (PBE).

For the density of states at the Fermi level, the calculation gives 0.79 states/eV per atom. Its calculated total energy is -109.9 eV for the cell shown.

The space group is R-3m (No. 166, hexagonal axes) and the conventional cell measures 3.4037, 3.4037 and 23.1278 Å, with angles of 90.00, 90.00 and 120.00 degrees. The asymmetric unit holds Y at (0.0000, 0.0000, 0.0000), P at (0.0000, 0.0000, 0.5000) and W at (0.0000, 0.0000, 0.2243).

***

2.
Entry from the Alexandria database: a geometry-optimized BeSi2RuF structure (PBE).

As for the uncorrected formation energy: 0.5010 eV per atom. For the density of states at the Fermi level, the calculation gives 0.83 states/eV per atom. Its calculated total energy is -23.2 eV for the cell shown.

The space group is P4/mmm (No. 123) and the conventional cell measures 4.0950, 4.0950 and 4.2845 Å, with angles of 90.00, 90.00 and 90.00 degrees. The asymmetric unit holds Be at (0.0000, 0.0000, 0.0000), Si at (0.0000, 0.5000, 0.0000), Ru at (0.0000, 0.0000, 0.5000) and F at (0.5000, 0.5000, 0.5000).

***

3.
Entry from the Alexandria database: a geometry-optimized AsC2 structure (PBE).

For the density of states at the Fermi level, the calculation gives 0.09 states/eV per atom. Its calculated total energy is -84.1 eV for the cell shown.

The space group is Imma (No. 74) and the conventional cell measures 2.8515, 5.8943 and 12.7249 Å, with angles of 90.00, 90.00 and 90.00 degrees. The asymmetric unit holds As at (0.0000, 0.2500, 0.0174), C at (0.0000, 0.2500, 0.2777) and C at (0.0000, 0.2500, 0.3864).

***

4.
Entry from the Alexandria database: a geometry-optimized SmMgGaPt3 structure (PBE).

For the density of states at the Fermi level, the calculation gives 0.58 states/eV per atom. Its calculated total energy is -125.4 eV for the cell shown.

The space group is Cmcm (No. 63) and the conventional cell measures 6.9088, 12.2104 and 5.6916 Å, with angles of 90.00, 90.00 and 90.00 degrees. The asymmetric unit holds Sm at (0.0000, 0.1890, 0.2500), Mg at (0.0000, 0.4424, 0.2500), Ga at (0.0000, 0.1329, 0.7500), Pt at (0.0000, 0.3340, 0.7500) and Pt at (0.2049, 0.0000, 0.0000).

***

5.
Entry from the Alexandria database: a geometry-optimized LiTlH2Br structure (PBE).

For the density of states at the Fermi level, the calculation gives 0.24 states/eV per atom. Its calculated total energy is -15.0 eV for the cell shown.

The space group is Pm (No. 6) and the conventional cell measures 3.5775, 3.5768 and 8.6223 Å, with angles of 90.00, 90.69 and 90.00 degrees. The asymmetric unit holds Li at (0.0000, 0.0000, 0.0000), Tl at (0.5331, 0.5000, 0.3082), H at (0.8332, 0.0000, 0.6550), H at (0.9598, 0.0000, 0.5855) and Br at (0.4966, 0.5000, 0.9375).

***

6.
Entry from the Alexandria database: a geometry-optimized Cd4Hg2Pb structure (PBE).

For the density of states at the Fermi level, the calculation gives 0.41 states/eV per atom. Its calculated total energy is -14.9 eV for the cell shown.

The space group is I4/mmm (No. 139) and the conventional cell measures 4.1268, 4.1268 and 21.5953 Å, with angles of 90.00, 90.00 and 90.00 degrees. The asymmetric unit holds Cd at (0.0000, 0.0000, 0.1440), Cd at (0.0000, 0.5000, 0.2500), Hg at (0.0000, 0.0000, 0.4120) and Pb at (0.0000, 0.0000, 0.0000).

***

7.
Entry from the Alexandria database: a geometry-optimized ZnIn3Ga structure (PBE).

For the density of states at the Fermi level, the calculation gives 0.79 states/eV per atom. Its calculated total energy is -10.9 eV for the cell shown.

The space group is Pm-3m (No. 221) and the conventional cell measures 5.2316, 5.2316 and 5.2316 Å, with angles of 90.00, 90.00 and 90.00 degrees. The asymmetric unit holds Zn at (0.0000, 0.0000, 0.0000), In at (0.0000, 0.0000, 0.5000) and Ga at (0.5000, 0.5000, 0.5000).

***

8.
Entry from the Alexandria database: a geometry-optimized YCuPd5 structure (PBE).

For the density of states at the Fermi level, the calculation gives 0.73 states/eV per atom. Its calculated total energy is -39.2 eV for the cell shown.

The space group is P4/mmm (No. 123) and the conventional cell measures 4.2882, 4.2882 and 6.6033 Å, with angles of 90.00, 90.00 and 90.00 degrees. The asymmetric unit holds Y at (0.0000, 0.0000, 0.0000), Cu at (0.5000, 0.5000, 0.5000), Pd at (0.0000, 0.5000, 0.2883) and Pd at (0.5000, 0.5000, 0.0000).